(1)
! Li3ZrPd6, relaxed, DFT GGA-PBE; values from VASP
! Energy relative to the elements, eV per atom: -0.285
! Symmetry: R-3 (148)
&SYSTEM
  ibrav = 0, nat = 20, ntyp = 3
/
ATOMIC_SPECIES
Pd 106.42 Pd.upf
Zr 91.22 Zr.upf
Li 6.94 Li.upf
CELL_PARAMETERS angstrom
-4.727 -4.799 0.233
2.319 -2.808 -5.671
4.073 -4.090 3.480
ATOMIC_POSITIONS angstrom
Pd 1.245 -4.716 -3.680
Pd 2.503 -7.995 -0.500
Pd -0.839 -3.701 -1.457
Pd 0.490 -3.918 0.967
Pd 3.611 -5.904 -1.993
Pd -0.243 -8.366 -0.615
Pd 1.907 -3.330 -1.343
Pd 1.174 -7.778 -2.925
Pd -1.946 -5.792 0.035
Pd -1.280 -6.438 -2.964
Pd 0.419 -6.981 1.723
Pd 2.945 -5.258 1.006
Zr 0.832 -5.848 -0.979
Zr 0.000 0.000 0.000
Li -1.076 -8.824 -3.198
Li 0.707 -2.397 -3.323
Li 0.957 -9.299 1.365
Li -2.203 -3.472 0.620
Li 2.740 -2.872 1.240
Li 3.868 -8.224 -2.578

(2)
! Li3Zr2Pd4, relaxed, DFT GGA-PBE; values from VASP
! Energy relative to the elements, eV per atom: -0.485
! Symmetry: C2/m (12)
&SYSTEM
  ibrav = 0, nat = 9, ntyp = 3
/
ATOMIC_SPECIES
Pd 106.42 Pd.upf
Zr 91.22 Zr.upf
Li 6.94 Li.upf
CELL_PARAMETERS angstrom
4.212 0.000 0.000
2.105 4.045 0.781
-0.001 -0.528 8.557
ATOMIC_POSITIONS angstrom
Pd 4.210 2.288 8.164
Pd 2.106 1.229 1.174
Pd 2.107 3.786 3.656
Pd 4.210 -0.269 5.682
Zr 2.104 1.002 6.960
Zr 4.213 2.514 2.378
Li 0.000 0.000 0.000
Li 2.107 0.985 3.996
Li 4.210 2.531 5.342

(3)
! Li3ZrPd6, relaxed, DFT GGA-PBE; values from VASP
! Energy relative to the elements, eV per atom: -0.520
! Symmetry: P2_1/m (11)
&SYSTEM
  ibrav = 0, nat = 20, ntyp = 3
/
ATOMIC_SPECIES
Pd 106.42 Pd.upf
Zr 91.22 Zr.upf
Li 6.94 Li.upf
CELL_PARAMETERS angstrom
4.214 0.000 0.000
0.000 7.832 -0.899
0.000 -0.684 9.146
ATOMIC_POSITIONS angstrom
Pd 3.160 0.820 6.348
Pd 1.053 1.107 1.816
Pd 3.160 7.282 -0.036
Pd 3.160 5.437 3.709
Pd 1.053 4.333 5.768
Pd 1.053 3.558 0.531
Pd 3.160 6.041 6.431
Pd 3.160 3.590 7.716
Pd 1.053 1.710 4.538
Pd 3.160 2.815 2.479
Pd 1.053 -0.134 8.283
Pd 1.053 6.327 1.899
Zr 1.053 6.872 4.841
Zr 3.160 0.275 3.406
Li 1.053 5.189 8.263
Li 3.160 1.959 -0.016
Li 1.053 4.008 3.142
Li 3.160 4.973 1.052
Li 3.160 3.140 5.104
Li 1.053 2.174 7.195

(4)
! LiZr3Pd, relaxed, DFT GGA-PBE; values from VASP
! Energy relative to the elements, eV per atom: 0.535
! Symmetry: Pm-3m (221)
&SYSTEM
  ibrav = 0, nat = 5, ntyp = 3
/
ATOMIC_SPECIES
Pd 106.42 Pd.upf
Zr 91.22 Zr.upf
Li 6.94 Li.upf
CELL_PARAMETERS angstrom
5.126 0.000 0.000
0.000 5.126 0.000
0.000 0.000 5.126
ATOMIC_POSITIONS angstrom
Pd 0.000 0.000 0.000
Zr 0.000 2.563 0.000
Zr 0.000 0.000 2.563
Zr 2.563 0.000 0.000
Li 2.563 2.563 2.563

(5)
! Li2Zr2Pd3, relaxed, DFT GGA-PBE; values from VASP
! Energy relative to the elements, eV per atom: -0.489
! Symmetry: Cmmm (65)
&SYSTEM
  ibrav = 0, nat = 7, ntyp = 3
/
ATOMIC_SPECIES
Pd 106.42 Pd.upf
Zr 91.22 Zr.upf
Li 6.94 Li.upf
CELL_PARAMETERS angstrom
-3.445 0.962 -0.425
-0.866 -2.643 1.037
-1.854 4.578 10.122
ATOMIC_POSITIONS angstrom
Pd -3.486 2.229 2.771
Pd 0.000 0.000 0.000
Pd -1.813 3.311 6.926
Zr -3.989 3.087 8.786
Zr -2.177 -0.190 1.948
Li -2.212 0.915 4.735
Li -3.953 1.982 6.000

(6)
! Li3ZrPd4, relaxed, DFT GGA-PBE; values from VASP
! Energy relative to the elements, eV per atom: -0.512
! Symmetry: Im-3m (229)
&SYSTEM
  ibrav = 0, nat = 8, ntyp = 3
/
ATOMIC_SPECIES
Pd 106.42 Pd.upf
Li 6.94 Li.upf
Zr 91.22 Zr.upf
CELL_PARAMETERS angstrom
-3.474 3.954 1.218
-0.313 -3.887 3.738
5.022 1.987 -0.115
ATOMIC_POSITIONS angstrom
Pd -0.157 -1.943 1.869
Pd -1.737 1.977 0.609
Pd 2.511 0.994 -0.057
Pd 0.617 1.027 2.421
Li 0.774 2.971 0.551
Li -1.894 0.033 2.478
Li 2.354 -0.950 1.812
Zr 0.000 0.000 0.000

(7)
! LiZr2Pd6, relaxed, DFT GGA-PBE; values from VASP
! Energy relative to the elements, eV per atom: -0.461
! Symmetry: Cmmm (65)
&SYSTEM
  ibrav = 0, nat = 9, ntyp = 3
/
ATOMIC_SPECIES
Li 6.94 Li.upf
Pd 106.42 Pd.upf
Zr 91.22 Zr.upf
CELL_PARAMETERS angstrom
2.927 0.000 0.193
0.000 7.522 0.000
-0.458 -3.761 6.898
ATOMIC_POSITIONS angstrom
Li 0.000 0.000 0.000
Pd 1.463 2.389 0.096
Pd 1.463 5.133 0.096
Pd -0.312 -2.380 4.726
Pd 2.781 6.141 2.365
Pd -0.312 2.380 4.726
Pd 2.781 1.381 2.365
Zr 1.176 0.000 4.459
Zr 1.293 3.761 2.632

(8)
! Li2ZrPd, relaxed, DFT GGA-PBE; values from VASP
! Energy relative to the elements, eV per atom: 0.007
! Symmetry: Fm-3m (225)
&SYSTEM
  ibrav = 0, nat = 4, ntyp = 3
/
ATOMIC_SPECIES
Li 6.94 Li.upf
Zr 91.22 Zr.upf
Pd 106.42 Pd.upf
CELL_PARAMETERS angstrom
0.000 3.143 3.143
3.143 0.000 3.143
3.143 3.143 0.000
ATOMIC_POSITIONS angstrom
Li 4.714 4.714 4.714
Li 1.571 1.571 1.571
Zr 0.000 0.000 0.000
Pd 3.143 3.143 3.143

Which of these has the lowest energy relative to the elements? number 3

Which formula does entry 1 have? Li3ZrPd6